A plane-wave DFT calculation with PBE was carried out for a relaxed structure of ScBi2POs.

Its density of states at the Fermi level is 1.00 states/eV/atom. The value obtained for the energy is -24.1 eV for the cell shown. As for the formation energy from the elements: 1.33 eV per atom.

It has space group P4/mmm (No. 123), with a = 5.540 Å, b = 5.540 Å, c = 4.731 Å, α = 90.00°, β = 90.00° and γ = 90.00°. Symmetry generates all atoms from Sc at (0.000, 0.000, 0.000), Bi at (0.000, 0.500, 0.000), P at (0.000, 0.000, 0.500) and Os at (0.500, 0.500, 0.500).

=====

A plane-wave DFT calculation with PBE was carried out for a relaxed structure of BiTePOs2.

Its density of states at the Fermi level is 0.86 states/eV/atom. The value obtained for the energy is -29.7 eV for the cell shown.

It has space group P4/mmm (No. 123), with a = 4.474 Å, b = 4.474 Å, c = 5.376 Å, α = 90.00°, β = 90.00° and γ = 90.00°. Symmetry generates all atoms from Bi at (0.000, 0.000, 0.000), Te at (0.500, 0.500, 0.000), P at (0.500, 0.500, 0.500) and Os at (0.000, 0.500, 0.500).

=====

A plane-wave DFT calculation with PBE was carried out for a relaxed structure of BiTe2POs.

Its density of states at the Fermi level is 1.40 states/eV/atom. The value obtained for the energy is -16.8 eV for the cell shown.

It has space group P4/mmm (No. 123), with a = 5.966 Å, b = 5.966 Å, c = 5.114 Å, α = 90.00°, β = 90.00° and γ = 90.00°. Symmetry generates all atoms from Bi at (0.000, 0.000, 0.000), Te at (0.000, 0.500, 0.000), P at (0.500, 0.500, 0.500) and Os at (0.000, 0.000, 0.500).

=====

A plane-wave DFT calculation with PBE was carried out for a relaxed structure of BiP2OsW.

Its density of states at the Fermi level is 1.16 states/eV/atom. The value obtained for the energy is -23.5 eV for the cell shown. As for the formation energy from the elements: 3.07 eV per atom.

It has space group P4/mmm (No. 123), with a = 5.031 Å, b = 5.031 Å, c = 5.250 Å, α = 90.00°, β = 90.00° and γ = 90.00°. Symmetry generates all atoms from Bi at (0.000, 0.000, 0.000), P at (0.000, 0.500, 0.000), Os at (0.500, 0.500, 0.500) and W at (0.000, 0.000, 0.500).

=====

Copy entry 2 word for word.
A plane-wave DFT calculation with PBE was carried out for a relaxed structure of BiTePOs2.

Its density of states at the Fermi level is 0.86 states/eV/atom. The value obtained for the energy is -29.7 eV for the cell shown.

It has space group P4/mmm (No. 123), with a = 4.474 Å, b = 4.474 Å, c = 5.376 Å, α = 90.00°, β = 90.00° and γ = 90.00°. Symmetry generates all atoms from Bi at (0.000, 0.000, 0.000), Te at (0.500, 0.500, 0.000), P at (0.500, 0.500, 0.500) and Os at (0.000, 0.500, 0.500).

=====

> energy of number 1 (ScBi2POs)?

-24.1 eV for the cell shown